Entry 1:
Density functional theory data (SCAN) for a crystal of La3NbBr relaxed with PBEsol.

## Properties
Raw formation energy (eV per atom): 0.0031
Crystal system: cubic
SG: No. 221

Cell: 5.5680 5.5680 5.5680 Å, 90.00 90.00 90.00°
Atoms (fractional coordinates):
La (0.0000, 0.0000, 0.5000)
La (0.0000, 0.5000, 0.0000)
La (0.5000, 0.0000, 0.0000)
Nb (0.0000, 0.0000, 0.0000)
Br (0.5000, 0.5000, 0.5000)



Entry 2:
Density functional theory data (SCAN) for a crystal of BaLi2Ag2 relaxed with PBEsol.

## Properties
Energy of formation from the pure elements (meV/atom): -157
Crystal system: tetragonal
SG: No. 139

Cell: 4.8449 4.8449 10.3541 Å, 90.00 90.00 90.00°
Atoms (fractional coordinates):
Ba (0.0000, 0.0000, 0.0000)
Ba (0.5000, 0.5000, 0.5000)
Li (0.0000, 0.0000, 0.3518)
Li (0.0000, 0.0000, 0.6482)
Li (0.5000, 0.5000, 0.1482)
Li (0.5000, 0.5000, 0.8518)
Ag (0.0000, 0.5000, 0.2500)
Ag (0.0000, 0.5000, 0.7500)
Ag (0.5000, 0.0000, 0.2500)
Ag (0.5000, 0.0000, 0.7500)



Entry 3:
Density functional theory data (SCAN) for a crystal of MnOsPb2 relaxed with PBEsol.

## Properties
Distance to the lowest polymorph of the same formula (eV/f.u.): 0.000
Energy of formation from the pure elements (meV/atom): 706
Crystal system: tetragonal
SG: No. 123

Cell: 3.2977 3.2977 6.9476 Å, 90.00 90.00 90.00°
Atoms (fractional coordinates):
Mn (0.0000, 0.0000, 0.0000)
Os (0.0000, 0.0000, 0.5000)
Pb (0.5000, 0.5000, 0.2579)
Pb (0.5000, 0.5000, 0.7421)



Entry 4:
Density functional theory data (SCAN) for a crystal of KCrIr2 relaxed with PBEsol.

## Properties
Distance to the lowest polymorph of the same formula (eV/f.u.): 0.000
Energy of formation from the pure elements (meV/atom): 522
Crystal system: monoclinic
SG: No. 6

Cell: 2.6330 3.8580 7.5747 Å, 90.00 99.84 90.00°
Atoms (fractional coordinates):
K (0.0000, 0.0000, 0.0000)
Cr (0.8160, 0.5000, 0.6384)
Ir (0.2598, 0.0000, 0.5207)
Ir (0.6628, 0.5000, 0.3242)



Entry 5:
Density functional theory data (SCAN) for a crystal of CoAs relaxed with PBEsol.

## Properties
Energy of formation from the pure elements (meV/atom): -39
Crystal system: monoclinic
SG: No. 8

Cell: 7.8202 3.2416 6.6219 Å, 90.00 109.30 90.00°
Atoms (fractional coordinates):
Co (0.0000, 0.0000, 0.0000)
Co (0.0295, 0.0000, 0.6207)
Co (0.2398, 0.0000, 0.3753)
Co (0.5000, 0.5000, 0.0000)
Co (0.5295, 0.5000, 0.6207)
Co (0.7398, 0.5000, 0.3753)
As (0.0281, 0.5000, 0.3661)
As (0.2282, 0.5000, 0.0793)
As (0.3504, 0.0000, 0.7499)
As (0.5281, 0.0000, 0.3661)
As (0.7282, 0.0000, 0.0793)
As (0.8504, 0.5000, 0.7499)



Entry 6:
Density functional theory data (SCAN) for a crystal of NdTm3 relaxed with PBEsol.

## Properties
Distance to the lowest polymorph of the same formula (eV/f.u.): 0.000
Energy of formation from the pure elements (meV/atom): 14
Crystal system: hexagonal
SG: No. 194

Cell: 7.0582 7.0582 5.5411 Å, 90.00 90.00 120.00°
Atoms (fractional coordinates):
Nd (0.3333, 0.6667, 0.2500)
Nd (0.6667, 0.3333, 0.7500)
Tm (0.1652, 0.3304, 0.7500)
Tm (0.1652, 0.8348, 0.7500)
Tm (0.3304, 0.1652, 0.2500)
Tm (0.6696, 0.8348, 0.7500)
Tm (0.8348, 0.1652, 0.2500)
Tm (0.8348, 0.6696, 0.2500)



Entry 7:
Density functional theory data (SCAN) for a crystal of HgAsW relaxed with PBEsol.

## Properties
Distance to the lowest polymorph of the same formula (eV/f.u.): 1.873
Energy of formation from the pure elements (meV/atom): 1106
Crystal system: cubic
SG: No. 216

Cell: 6.1247 6.1247 6.1247 Å, 90.00 90.00 90.00°
Atoms (fractional coordinates):
Hg (0.0000, 0.0000, 0.0000)
Hg (0.0000, 0.5000, 0.5000)
Hg (0.5000, 0.0000, 0.5000)
Hg (0.5000, 0.5000, 0.0000)
As (0.2500, 0.2500, 0.2500)
As (0.2500, 0.7500, 0.7500)
As (0.7500, 0.2500, 0.7500)
As (0.7500, 0.7500, 0.2500)
W (0.0000, 0.0000, 0.5000)
W (0.0000, 0.5000, 0.0000)
W (0.5000, 0.0000, 0.0000)
W (0.5000, 0.5000, 0.5000)



Entry 8:
Density functional theory data (SCAN) for a crystal of Fe2SiCl relaxed with PBEsol.

## Properties
Distance to the lowest polymorph of the same formula (eV/f.u.): 0.000
Raw formation energy (eV per atom): 0.1687
Crystal system: tetragonal
SG: No. 123

Cell: 2.8909 2.8909 6.0887 Å, 90.00 90.00 90.00°
Atoms (fractional coordinates):
Fe (0.0000, 0.0000, 0.1980)
Fe (0.0000, 0.0000, 0.8020)
Si (0.5000, 0.5000, 0.0000)
Cl (0.5000, 0.5000, 0.5000)